VASP calculation (GGA-PBE) on crystalline NdScSi2Os at its relaxed geometry.

Computed properties:
Raw formation energy ... -0.70 eV per atom
DOS(E_F) ... 2.63 states/eV/cell
Spin magnetization ... 0.0 μB per formula unit
Energy ... -7.340 eV per atom
Space-group type ... I-4m2, No. 119

a b c (Å): 6.3455 6.3455 6.3455
angles (deg): 142.48 142.48 54.10
Last column: nearest neighbours and their distance in Å.
Fractional positions:
Nd  0.0000  0.0000  0.0000  8 Si 3.13, 4 Os 3.49, 4 Sc 3.49
Sc  0.7500  0.2500  0.5000  4 Si 2.60, 4 Os 2.89
Si  0.3928  0.3928  0.0000  1 Si 2.42, 2 Sc 2.60, 2 Os 2.60
Si  0.6072  0.6072  0.0000  1 Si 2.42, 2 Sc 2.60, 2 Os 2.60
Os  0.2500  0.7500  0.5000  4 Si 2.60, 4 Sc 2.89



VASP calculation (GGA-PBE) on crystalline Al2CrFeH at its relaxed geometry.

Computed properties:
Relative energy among the computed polymorphs ... 0.027 eV per atom
DOS(E_F) ... 3.34 states/eV/cell
Spin magnetization ... 3.7 μB per formula unit
Energy ... -5.809 eV per atom
Space-group type ... P4/mmm, No. 123

a b c (Å): 4.0091 4.0091 3.4009
angles (deg): 90.00 90.00 90.00
Last column: nearest neighbours and their distance in Å.
Fractional positions:
Al  0.0000  0.5000  0.0000  2 H 2.00
Al  0.5000  0.0000  0.0000  2 H 2.00
Cr  0.0000  0.0000  0.5000  2 H 1.70
Fe  0.5000  0.5000  0.5000  8 Al 2.63, 4 Cr 2.83
H  0.0000  0.0000  0.0000  2 Cr 1.70



VASP calculation (GGA-PBE) on crystalline LiPrYLu at its relaxed geometry.

Computed properties:
Formation energy from the elements ... 0.1462 eV/atom
DOS(E_F) ... 4.15 states/eV/cell
Spin magnetization ... 0.0 μB per formula unit
Energy ... -4.273 eV per atom
Space-group type ... F-43m, No. 216

a b c (Å): 5.5191 5.5191 5.5191
angles (deg): 60.00 60.00 60.00
Last column: nearest neighbours and their distance in Å.
Fractional positions:
Li  0.0000  0.0000  0.0000  4 Pr 3.38, 4 Y 3.38
Pr  0.7500  0.7500  0.7500  4 Li 3.38, 4 Lu 3.38
Y  0.2500  0.2500  0.2500  4 Li 3.38, 4 Lu 3.38
Lu  0.5000  0.5000  0.5000  4 Pr 3.38, 4 Y 3.38



VASP calculation (GGA-PBE) on crystalline GdSiRh3 at its relaxed geometry.

Computed properties:
Raw formation energy ... -0.67 eV per atom
DOS(E_F) ... 2.36 states/eV/cell
Spin magnetization ... 7.0 μB per formula unit
Energy ... -8.978 eV per atom
Space-group type ... Pm-3m, No. 221

a b c (Å): 4.4730 4.4730 4.4730
angles (deg): 90.00 90.00 90.00
Last column: nearest neighbours and their distance in Å.
Fractional positions:
Gd  0.0000  0.0000  0.0000  12 Rh 3.16
Si  0.5000  0.5000  0.5000  6 Rh 2.24
Rh  0.0000  0.5000  0.5000  2 Si 2.24
Rh  0.5000  0.0000  0.5000  2 Si 2.24
Rh  0.5000  0.5000  0.0000  2 Si 2.24